Record 1
Compound: InAg2Bi2
Source: the Alexandria database
Functional: PBE-GGA
Structure: relaxed

Cell and atoms, written as extended XYZ:
```
5
Lattice="-2.2999 2.2999 6.7070 2.2999 -2.2999 6.7070 2.2999 2.2999 -6.7070" Properties=species:S:1:pos:R:3 pbc="T T T"
In 0.0000 0.0000 0.0000
Ag 0.0000 0.0000 5.3620
Ag 0.0000 0.0000 8.0519
Bi 2.2999 0.0000 3.3535
Bi 0.0000 2.2999 3.3535
```

E_tot = -3.042 eV per atom
Symmetry = I4/mmm (139)
Distance to the lowest polymorph of the same formula = 0.67 eV per formula unit
E_form = 0.1984 eV per atom
ρ = 8.76 Mg/m³

---

Record 2
Compound: Ni3C4
Source: the Alexandria database
Functional: PBE-GGA
Structure: relaxed

Cell and atoms, written as extended XYZ:
```
7
Lattice="4.6217 0.0000 0.0000 0.0000 4.6217 0.0000 0.0000 0.0000 4.6217" Properties=species:S:1:pos:R:3 pbc="T T T"
Ni 0.0000 0.0000 2.3108
Ni 0.0000 2.3108 0.0000
Ni 2.3108 0.0000 0.0000
C 0.5922 0.5922 0.5922
C 0.5922 4.0295 4.0295
C 4.0295 0.5922 4.0295
C 4.0295 4.0295 0.5922
```

E_tot = -6.522 eV per atom
Symmetry = P-43m (215)
Distance to the lowest polymorph of the same formula = 2.29 eV per formula unit
E_form = 1.2266 eV per atom
ρ = 3.77 Mg/m³